Material: FeSbOs2O
Method: DFT, PBE with a Hubbard U
State: relaxed

The value obtained for the spin magnetization is 2.957 μB/f.u. Its raw total energy is -4.981 eV per atom.

The space group is P4/mmm (No. 123) and the conventional cell measures 4.404, 4.404 and 4.748 Å, with angles of 90.00, 90.00 and 90.00 degrees. The asymmetric unit holds Fe at (0.000, 0.000, 0.000), Sb at (0.000, 0.000, 0.500), Os at (0.000, 0.500, 0.000) and O at (0.500, 0.500, 0.500).